Record 1
Entry from Alexandria via LeMat-Bulk: a geometry-optimized LiMn2GeF structure (GGA+U).

offset from the most stable computed form: 0.0 meV per atom
SG: P4/mmm

abc: 5.3326 5.3326 3.2745
angles: 90.00 90.00 90.00
Element x y z (fractional)
1 Li 0.0000 0.0000 0.0000
2 Mn 0.0000 0.5000 0.0000
3 Mn 0.5000 0.0000 0.0000
4 Ge 0.5000 0.5000 0.5000
5 F 0.0000 0.0000 0.5000

Record 2
Entry from Alexandria via LeMat-Bulk: a geometry-optimized LiMn2GeF structure (GGA+U).

offset from the most stable computed form: 127.5 meV per atom
SG: P4/mmm

abc: 4.3894 4.3894 5.0256
angles: 90.00 90.00 90.00
Element x y z (fractional)
1 Li 0.0000 0.0000 0.0000
2 Mn 0.0000 0.5000 0.5000
3 Mn 0.5000 0.0000 0.5000
4 Ge 0.5000 0.5000 0.0000
5 F 0.5000 0.5000 0.5000